(1)
Below is NiH6C2N2O4 after structural relaxation, with properties calculated at the PBE with a Hubbard U level.

Lattice parameters (Å, degrees): 13.4873 6.7681 8.8897 90.00 129.79 90.00
Space group C2/c (No. 15)
Symmetry-distinct sites (fractional):
Ni: 0.0000 0.2413 0.2500 x4
H: 0.1115 0.4422 0.7174 x8
H: 0.1934 0.4989 0.4493 x8
H: 0.2061 0.3638 0.3124 x8
C: 0.0585 0.0583 0.5889 x8
N: 0.1399 0.4408 0.3108 x8
O: 0.0945 0.2102 0.5502 x8
O: 0.1097 0.0049 0.2582 x8

Output
Raw total energy = -5.97 eV per atom



(2)
Below is Ni3H12C10NO6 after structural relaxation, with properties calculated at the PBE with a Hubbard U level.

Lattice parameters (Å, degrees): 10.9721 10.9721 7.3583 90.00 90.00 120.00
Space group P-3 (No. 147)
Symmetry-distinct sites (fractional):
Ni: 0.0202 0.1356 0.1647 x6
H: 0.1115 0.5483 0.5797 x6
H: 0.1853 0.7365 0.5713 x6
H: 0.1956 0.6437 0.3762 x6
H: 0.2451 0.5666 0.8441 x6
C: 0.0299 0.2003 0.7705 x6
C: 0.0535 0.3081 0.1667 x6
C: 0.1958 0.6475 0.5248 x6
C: 0.3333 0.6667 0.7970 x2
N: 0.3333 0.6667 0.5927 x2
O: 0.0451 0.3077 0.7094 x6
O: 0.0825 0.4258 0.1560 x6

Output
Raw total energy = -5.81 eV per atom